Record 1
Computed, not measured: crystalline Y2Be2InRh5 at its relaxed geometry at the PBE-GGA level of DFT.

## Properties
Space-group type: P4/mbm, No. 127
Raw total energy: -134.88 eV per cell
DOS(E_F): 6.66 states/eV/f.u.

a = 3.315 Å, b = 9.737 Å, c = 9.737 Å
α = 90.00°, β = 90.00°, γ = 90.00°
Fractional coordinates of all 20 atoms:
Y  0.000  0.677  0.177
Y  0.000  0.323  0.823
Y  0.000  0.177  0.323
Y  0.000  0.823  0.677
Be  0.000  0.119  0.619
Be  0.000  0.881  0.381
Be  0.000  0.619  0.881
Be  0.000  0.381  0.119
In  0.000  0.000  0.000
In  0.000  0.500  0.500
Rh  0.500  0.219  0.069
Rh  0.500  0.781  0.931
Rh  0.500  0.069  0.781
Rh  0.500  0.719  0.431
Rh  0.500  0.931  0.219
Rh  0.500  0.281  0.569
Rh  0.500  0.569  0.719
Rh  0.500  0.431  0.281
Rh  0.500  0.500  0.000
Rh  0.500  0.000  0.500

***

Record 2
Computed, not measured: crystalline YBeIn2Rh at its relaxed geometry at the PBE-GGA level of DFT.

## Properties
Space-group type: P4/mmm, No. 123
Raw total energy: -15.07 eV per cell
DOS(E_F): 7.83 states/eV/f.u.

a = 5.612 Å, b = 4.670 Å, c = 5.612 Å
α = 90.00°, β = 90.00°, γ = 90.00°
Fractional coordinates of all 5 atoms:
Y  0.000  0.000  0.000
Be  0.000  0.500  0.000
Rh  0.500  0.500  0.500
In  0.000  0.000  0.500
In  0.500  0.000  0.000

***

| no. | formation energy from the elements (eV/f.u.) |
| --- | --- |
| 1 | -7.56 |
| 2 | 7.94 |